DFT (PBE) results for a relaxed structure of Dy2U2S7.

The structure in POSCAR format:
```
Dy2U2S7
1.0
-0.908 -1.211 -3.587
6.993 -3.899 -2.566
0.419 -8.375 0.609
Dy S U
2 7 2
Direct
0.000 0.791 0.209 Dy
0.500 0.327 0.673 Dy
0.141 0.139 0.580 S
0.500 0.012 0.988 S
0.612 0.495 0.282 S
0.814 0.076 0.296 S
0.859 0.420 0.861 S
0.186 0.704 0.924 S
0.388 0.718 0.505 S
0.258 0.328 0.155 U
0.742 0.845 0.672 U
```

Values from the calculation:
M_tot = 4.0 μB/f.u.
E_tot = -78.92 eV per formula unit
space-group type = No. 44
density of states at the Fermi level = 12.75 states/eV/cell
ΔE to the lowest computed polymorph = 7 meV per atom